# YSc3

A geometry-optimized YSc3 structure (GGA-PBE, Alexandria).

Values from the calculation:
The calculation puts the energy above the lowest structure with this stoichiometry at 8.7 meV per atom. The formation energy comes out at 0.027 eV/atom. The calculation puts the electronic total energy at -25.35 eV/f.u. Its magnetic moment is 0.0 μB per formula unit.

Cell lengths 5.867, 6.285, 3.407 Å; angles 74.27, 90.00, 117.83 degrees
Element x y z (fractional)
1 Y 0.589 0.500 0.750
2 Sc 0.003 0.011 0.995
3 Sc 0.084 0.500 0.250
4 Sc 0.492 0.989 0.505